Record 1
Li3PN3 | GGA-PBE | optimized geometry

abc: 5.387 5.387 5.387
angles: 115.71 115.71 115.71
Fractional positions:
Li  0.006  0.497  0.497
Li  0.497  0.006  0.497
Li  0.497  0.497  0.006
P  0.166  0.166  0.166
N  0.077  0.077  0.376
N  0.077  0.376  0.077
N  0.376  0.077  0.077

Calculated values
DOS(E_F), states/eV/f.u.: 1.824
Space-group type: No. 160
Spin magnetization, μB/f.u.: 0.6
Formation energy (no corrections), eV/atom: -0.435

---

Record 2
Li8P2N | GGA-PBE | optimized geometry

abc: 7.174 7.174 7.174
angles: 146.86 136.43 55.82
Fractional positions:
Li  0.122  0.380  0.742
Li  0.211  0.211  0.000
Li  0.226  0.000  0.226
Li  0.362  0.620  0.742
Li  0.638  0.380  0.258
Li  0.774  0.000  0.774
Li  0.789  0.789  0.000
Li  0.878  0.620  0.258
P  0.329  0.829  0.500
P  0.671  0.171  0.500
N  0.000  0.500  0.500

Calculated values
DOS(E_F), states/eV/f.u.: 4.875
Space-group type: No. 71
Spin magnetization, μB/f.u.: 0.0
Formation energy (no corrections), eV/atom: -0.495